(1)
Entry from the Alexandria database: a relaxed structure of La7Tl2Ga2 (PBE).

The structure in CIF format:
```
data_La7Tl2Ga2
_chemical_formula_sum 'La7 Tl2 Ga2'
_cell_length_a 6.981
_cell_length_b 6.981
_cell_length_c 8.009
_cell_angle_alpha 90.00
_cell_angle_beta 90.00
_cell_angle_gamma 109.81
_symmetry_space_group_name_H-M 'P 1'
_symmetry_Int_Tables_number 1
loop_
_symmetry_equiv_pos_as_xyz
'x,y,z'
loop_
_atom_site_label
_atom_site_fract_x
_atom_site_fract_y
_atom_site_fract_z
_atom_site_occupancy
La1 0.000 0.000 0.000 1
La2 0.000 0.500 0.311 1
La3 0.000 0.500 0.689 1
La4 0.500 0.000 0.311 1
La5 0.500 0.000 0.689 1
La6 0.500 0.500 0.287 1
La7 0.500 0.500 0.713 1
Tl1 0.295 0.705 0.000 1
Tl2 0.705 0.295 0.000 1
Ga1 0.158 0.158 0.500 1
Ga2 0.842 0.842 0.500 1
```

Calculated density: 6.88 g cm⁻³
Total energy: -4.272 eV per atom
Density of states at the Fermi level: 13.607 states/eV per cell
E_form: -155 meV/atom


(2)
Entry from the Alexandria database: a relaxed structure of Cs2PaPd2S6 (PBE).

The structure in CIF format:
```
data_Cs2PaPd2S6
_chemical_formula_sum 'Cs2 Pa1 Pd2 S6'
_cell_length_a 7.437
_cell_length_b 7.437
_cell_length_c 8.182
_cell_angle_alpha 117.24
_cell_angle_beta 117.24
_cell_angle_gamma 60.08
_symmetry_space_group_name_H-M 'P 1'
_symmetry_Int_Tables_number 1
loop_
_symmetry_equiv_pos_as_xyz
'x,y,z'
loop_
_atom_site_label
_atom_site_fract_x
_atom_site_fract_y
_atom_site_fract_z
_atom_site_occupancy
Cs1 0.233 0.233 0.198 1
Cs2 0.767 0.767 0.802 1
Pa1 0.000 0.000 0.500 1
Pd1 0.419 0.419 0.757 1
Pd2 0.581 0.581 0.243 1
S1 0.235 0.760 0.735 1
S2 0.238 0.238 0.739 1
S3 0.240 0.765 0.265 1
S4 0.760 0.235 0.735 1
S5 0.762 0.762 0.261 1
S6 0.765 0.240 0.265 1
```

Calculated density: 4.50 g cm⁻³
Total energy: -5.020 eV per atom
Density of states at the Fermi level: 5.198 states/eV per cell
ΔE_f (raw): -0.806 eV/atom